[1]
DFT (PBE) results for a relaxed structure of ScCrSeBr2.

## Properties
Symmetry = P4/mmm (123)
DOS at the Fermi energy = 4.75 states/eV per cell
Offset from the most stable computed form = 0 meV per atom
Crystal system = tetragonal

Cell: 5.258 5.258 5.230 Å, 90.00 90.00 90.00°
Last column: magnetic moment on the atom in μB.
Atoms (fractional coordinates):
Br  0.000  0.500  0.000  0.01
Br  0.500  0.000  0.000  0.01
Se  0.000  0.000  0.500  -0.06
Sc  0.000  0.000  0.000  0.03
Cr  0.500  0.500  0.500  4.38


[2]
DFT (PBE) results for a relaxed structure of ScCrSe2Br.

## Properties
Symmetry = P4/mmm (123)
DOS at the Fermi energy = 3.25 states/eV per cell
Offset from the most stable computed form = 24 meV per atom
Crystal system = tetragonal

Cell: 4.953 4.953 4.866 Å, 90.00 90.00 90.00°
Last column: magnetic moment on the atom in μB.
Atoms (fractional coordinates):
Sc  0.500  0.500  0.500  0.58
Se  0.500  0.000  0.000  -0.10
Se  0.000  0.500  0.000  -0.10
Br  0.000  0.000  0.500  0.00
Cr  0.000  0.000  0.000  3.20


[3]
DFT (PBE) results for a relaxed structure of ScCrSe2Br.

## Properties
Symmetry = P4/mmm (123)
DOS at the Fermi energy = 4.88 states/eV per cell
Offset from the most stable computed form = 0 meV per atom
Crystal system = tetragonal

Cell: 5.179 5.179 5.202 Å, 90.00 90.00 90.00°
Last column: magnetic moment on the atom in μB.
Atoms (fractional coordinates):
Se  0.500  0.000  0.000  -0.12
Se  0.000  0.500  0.000  -0.12
Cr  0.500  0.500  0.500  4.21
Br  0.000  0.000  0.500  0.01
Sc  0.000  0.000  0.000  0.01


[4]
DFT (PBE) results for a relaxed structure of ScCrSeBr2.

## Properties
Symmetry = P4/mmm (123)
DOS at the Fermi energy = 4.77 states/eV per cell
Offset from the most stable computed form = 219 meV per atom
Crystal system = tetragonal

Cell: 5.003 5.003 5.150 Å, 90.00 90.00 90.00°
Last column: magnetic moment on the atom in μB.
Atoms (fractional coordinates):
Br  0.000  0.500  0.000  0.00
Br  0.500  0.000  0.000  0.00
Sc  0.500  0.500  0.500  0.88
Cr  0.000  0.000  0.000  3.56
Se  0.000  0.000  0.500  -0.08


[5]
DFT (PBE) results for a relaxed structure of ScTiCrBr2.

## Properties
Total DFT energy (no corrections) = -25.3 eV/f.u.
Symmetry = P4/mmm (123)
DOS at the Fermi energy = 5.97 states/eV per cell
Crystal system = tetragonal

Cell: 4.959 5.091 4.959 Å, 90.00 90.00 90.00°
Last column: magnetic moment on the atom in μB.
Atoms (fractional coordinates):
Sc  0.500  0.500  0.500  -0.39
Cr  0.000  0.500  0.000  3.54
Br  0.000  0.000  0.500  0.04
Br  0.500  0.000  0.000  0.03
Ti  0.000  0.000  0.000  -0.97


[6]
DFT (PBE) results for a relaxed structure of YScCrBr2.

## Properties
Total DFT energy (no corrections) = -24.4 eV/f.u.
Symmetry = P4/mmm (123)
DOS at the Fermi energy = 4.42 states/eV per cell
Crystal system = tetragonal

Cell: 5.362 6.933 5.362 Å, 90.00 90.00 90.00°
Last column: magnetic moment on the atom in μB.
Atoms (fractional coordinates):
Cr  0.500  0.500  0.500  4.21
Br  0.500  0.000  0.000  0.01
Br  0.000  0.000  0.500  0.01
Sc  0.000  0.500  0.000  0.43
Y  0.000  0.000  0.000  0.08


[7]
DFT (PBE) results for a relaxed structure of Cr2SeBr.

## Properties
Symmetry = Pmmm (47)
DOS at the Fermi energy = 1.75 states/eV per cell
Offset from the most stable computed form = 205 meV per atom
Crystal system = orthorhombic

Cell: 3.784 6.935 3.649 Å, 90.00 90.00 90.00°
Last column: magnetic moment on the atom in μB.
Atoms (fractional coordinates):
Br  0.000  0.500  0.500  0.03
Cr  0.000  0.000  0.000  3.80
Cr  0.500  0.500  0.000  4.14
Se  0.500  0.000  0.500  -0.06


[8]
DFT (PBE) results for a relaxed structure of CrSe2Br.

## Properties
Symmetry = R-3m (166)
DOS at the Fermi energy = 0.06 states/eV per cell
Offset from the most stable computed form = 28 meV per atom
Crystal system = trigonal

Cell: 8.033 8.033 8.033 Å, 27.64 27.64 27.64°
Last column: magnetic moment on the atom in μB.
Atoms (fractional coordinates):
Se  0.112  0.112  0.112  -0.09
Se  0.888  0.888  0.888  -0.09
Br  0.000  0.000  0.000  0.01
Cr  0.500  0.500  0.500  2.95